(one)
LaGd2Sc (PBE-GGA, optimized geometry); spin magnetization = 14.85 μB per cell; density = 6.6 g/cm³
1.0
4.992 0.000 0.000
0.000 4.992 0.000
0.000 0.000 5.033
La Gd Sc
1 2 1
Cartesian
0.000 0.000 0.000
0.000 2.496 2.517
2.496 0.000 2.517
2.496 2.496 0.000

(two)
LaGd2Sc (PBE-GGA, optimized geometry); spin magnetization = 14.74 μB per cell; density = 6.6 g/cm³
1.0
1.726 0.996 12.219
-1.726 0.996 12.219
0.000 -1.993 12.219
La Gd Sc
1 2 1
Cartesian
0.000 0.000 0.000
0.000 0.000 3.400
0.000 0.000 33.258
0.000 0.000 18.329

The winner here is (one), beating the second structure by 0.095 eV/atom.

(one)
LaGdSc (PBE-GGA, optimized geometry); spin magnetization = 7.36 μB per cell; density = 6.0 g/cm³
1.0
-1.796 1.796 7.259
1.796 -1.796 7.259
1.796 1.796 -7.259
La Gd Sc
1 1 1
Cartesian
0.000 0.000 0.000
0.000 0.000 9.888
0.000 0.000 4.911

(two)
LaGdSc (PBE-GGA, optimized geometry); spin magnetization = 7.70 μB per cell; density = 6.1 g/cm³
1.0
5.593 0.000 0.000
-2.797 4.844 0.000
0.000 0.000 3.432
La Gd Sc
1 1 1
Cartesian
0.000 0.000 0.000
2.797 1.615 1.719
0.000 3.229 1.711

The winner here is (one), beating the second structure by 0.015 eV/atom.